No. 1
# RuPbBr2 PBE relaxed
data_RuPbBr2
_cell_length_a 3.828
_cell_length_b 3.828
_cell_length_c 7.729
_cell_angle_alpha 90.00
_cell_angle_beta 90.00
_cell_angle_gamma 90.00
_space_group_name_H-M_alt 'P 4 m m'
_space_group_IT_number 99
loop_
_space_group_symop_operation_xyz
'x,y,z'
'-y,x,z'
'-x,-y,z'
'y,-x,z'
'-x,y,z'
'y,x,z'
'x,-y,z'
'-y,-x,z'
loop_
_atom_site_label
_atom_site_type_symbol
_atom_site_fract_x
_atom_site_fract_y
_atom_site_fract_z
_atom_site_occupancy
Ru1 Ru 0.000 0.000 0.000 1
Pb1 Pb 0.500 0.500 0.867 1
Br1 Br 0.000 0.000 0.646 1
Br2 Br 0.500 0.500 0.235 1
# Density of states at the Fermi level: 4.29 states/eV/f.u.
# Calculated total energy: -3.8008 eV/atom
# Formation energy without anion corrections: 282 meV per atom
# Magnetization: 2.0 μB/f.u.

No. 2
# LaPuAgGe PBE relaxed
data_LaPuAgGe
_cell_length_a 7.426
_cell_length_b 7.426
_cell_length_c 7.426
_cell_angle_alpha 90.00
_cell_angle_beta 90.00
_cell_angle_gamma 90.00
_space_group_name_H-M_alt 'F -4 3 m'
_space_group_IT_number 216
_space_group_name_Hall 'F -4 2 3'
loop_
_atom_site_label
_atom_site_type_symbol
_atom_site_fract_x
_atom_site_fract_y
_atom_site_fract_z
_atom_site_occupancy
La1 La 0.000 0.000 0.000 1
Pu1 Pu 0.000 0.000 0.500 1
Ag1 Ag 0.250 0.250 0.750 1
Ge1 Ge 0.250 0.250 0.250 1
# Density of states at the Fermi level: 9.37 states/eV/f.u.
# Calculated total energy: -7.0206 eV/atom
# Magnetization: 6.2 μB/f.u.

No. 3
# Na2Li3HfF12 PBE relaxed
data_Na2Li3HfF12
_cell_length_a 7.1218
_cell_length_b 7.1218
_cell_length_c 18.4010
_cell_angle_alpha 90.00
_cell_angle_beta 90.00
_cell_angle_gamma 120.00
_space_group_name_H-M_alt 'R -3 m'
_space_group_IT_number 166
_space_group_name_Hall '-R 3 2"'
loop_
_atom_site_label
_atom_site_type_symbol
_atom_site_fract_x
_atom_site_fract_y
_atom_site_fract_z
_atom_site_occupancy
Na1 Na 0.0000 0.0000 0.0824 1
Li1 Li 0.0000 0.5000 0.0000 1
Hf1 Hf 0.0000 0.0000 0.5000 1
F1 F 0.0044 0.5022 0.3556 1
F2 F 0.0667 0.5333 0.1043 1
# Density of states at the Fermi level: 8.78 states/eV/f.u.
# Calculated total energy: -4.7922 eV/atom
# Formation energy without anion corrections: -2526 meV per atom
# Magnetization: 3.0 μB/f.u.

No. 4
# UNi2 PBE relaxed
data_UNi2
_cell_length_a 4.9223
_cell_length_b 4.9223
_cell_length_c 8.2545
_cell_angle_alpha 90.00
_cell_angle_beta 90.00
_cell_angle_gamma 120.00
_space_group_name_H-M_alt 'P 63/m m c'
_space_group_IT_number 194
_space_group_name_Hall '-P 6c 2c'
loop_
_atom_site_label
_atom_site_type_symbol
_atom_site_fract_x
_atom_site_fract_y
_atom_site_fract_z
_atom_site_occupancy
U1 U 0.3333 0.6667 0.0552 1
Ni1 Ni 0.0000 0.0000 0.0000 1
Ni2 Ni 0.1655 0.3310 0.7500 1
# Density of states at the Fermi level: 4.77 states/eV/f.u.
# Calculated total energy: -7.8617 eV/atom
# Magnetization: 1.5 μB/f.u.

No. 5
# YCdN3 PBE relaxed
data_YCdN3
_cell_length_a 4.100
_cell_length_b 4.100
_cell_length_c 4.100
_cell_angle_alpha 90.00
_cell_angle_beta 90.00
_cell_angle_gamma 90.00
_space_group_name_H-M_alt 'P m -3 m'
_space_group_IT_number 221
_space_group_name_Hall '-P 4 2 3'
loop_
_atom_site_label
_atom_site_type_symbol
_atom_site_fract_x
_atom_site_fract_y
_atom_site_fract_z
_atom_site_occupancy
Y1 Y 0.000 0.000 0.000 1
Cd1 Cd 0.500 0.500 0.500 1
N1 N 0.000 0.500 0.500 1
# Density of states at the Fermi level: 4.54 states/eV/f.u.
# Calculated total energy: -5.3638 eV/atom
# Formation energy without anion corrections: 1107 meV per atom
# Magnetization: 0.0 μB/f.u.

Number 1: density 6.9 g/cm³. Number 2: density 9.1 g/cm³. Number 3: density 2.9 g/cm³. Number 4: density 13.6 g/cm³. Number 5: density 5.9 g/cm³.